Entry from Alexandria via LeMat-Bulk: crystalline SrCoF2 at its relaxed geometry (PBE+U).

Properties
V: 21.04 Å³/atom
Polymorph energy (0 for the lowest one): 0.0 kJ/mol of atoms

abc: 6.7915 6.7915 6.7915
angles: 33.32 33.32 33.32
Closest atoms and distances in Å follow each position.
Sites, in units of the cell vectors:
F  0.1176  0.1176  0.1176  1 Co 2.26, 3 Sr 2.44
F  0.8824  0.8824  0.8824  1 Co 2.26, 3 Sr 2.44
Sr  0.5000  0.5000  0.5000  6 F 2.44
Co  0.0000  0.0000  0.0000  2 F 2.26